## PuAl2Rh (PBE)

Data for PuAl2Rh after structural relaxation.

Summary:
ΔH_f (0 K)	-1.8	eV/f.u.
calculated density	8.2	g cm⁻³
E	-31.00	eV for the cell shown

a = 4.213 Å, b = 4.213 Å, c = 5.791 Å
α = 68.67°, β = 68.67°, γ = 60.00°
Each line ends with the local moment (μB).
Element x y z (fractional)
1 Pu 0.500 0.500 0.500  5.46
2 Al 0.294 0.294 0.119  0.02
3 Rh 0.000 0.000 0.000  0.06
4 Al 0.706 0.706 0.881  0.02